{
  "formula": "Hf2Ti2Ag",
  "functional": "GGA-PBE",
  "state": "optimized geometry",
  "space_group": "No. 127",
  "total_magnetization_mub_per_atom": 0.00,
  "dos_at_fermi_per_ev_atom": 1.50,
  "total_energy_ev_per_atom": -7.539,
  "lattice": [[7.046, 0.000, 0.000], [0.000, 7.046, 0.000], [0.000, 0.000, 3.982]],
  "species": ["Hf", "Hf", "Hf", "Hf", "Ti", "Ti", "Ti", "Ti", "Ag", "Ag"],
  "frac_coords": [[0.157, 0.343, 0.000], [0.343, 0.843, 0.000], [0.657, 0.157, 0.000], [0.843, 0.657, 0.000], [0.136, 0.636, 0.500], [0.364, 0.136, 0.500], [0.636, 0.864, 0.500], [0.864, 0.364, 0.500], [0.000, 0.000, 0.500], [0.500, 0.500, 0.500]]
}

=====

{
  "formula": "HfTiAg2",
  "functional": "GGA-PBE",
  "state": "optimized geometry",
  "space_group": "No. 123",
  "total_magnetization_mub_per_atom": 0.22,
  "dos_at_fermi_per_ev_atom": 1.18,
  "total_energy_ev_per_atom": -5.790,
  "de_polymorph_mev_per_atom": 156,
  "lattice": [[4.145, 0.000, 0.000], [0.000, 4.145, 0.000], [0.000, 0.000, 4.279]],
  "species": ["Hf", "Ti", "Ag", "Ag"],
  "frac_coords": [[0.000, 0.000, 0.000], [0.500, 0.500, 0.000], [0.000, 0.500, 0.500], [0.500, 0.000, 0.500]]
}

=====

What is the formula in the second record?
HfTiAg2